[1]
Computed, not measured: BeAlPt2 after structural relaxation at the PBE level of DFT.

## Properties
The crystal system is cubic. As for the space group: F-43m. The calculation puts the final energy at -21.1 eV per cell.

Lattice parameters (Å, degrees): 4.310 4.310 4.310 60.00 60.00 60.00
Positions (direct):
Be (0.000, 0.000, 0.000)
Al (0.750, 0.750, 0.750)
Pt (0.250, 0.250, 0.250)
Pt (0.500, 0.500, 0.500)


[2]
Computed, not measured: Hf2AlNi2 after structural relaxation at the PBE level of DFT.

## Properties
The crystal system is tetragonal. As for the space group: P4/mbm. The calculation puts the final energy at -75.4 eV per cell.

Lattice parameters (Å, degrees): 6.976 6.976 3.283 90.00 90.00 90.00
Positions (direct):
Hf (0.171, 0.329, 0.000)
Hf (0.329, 0.829, 0.000)
Hf (0.671, 0.171, 0.000)
Hf (0.829, 0.671, 0.000)
Al (0.000, 0.000, 0.500)
Al (0.500, 0.500, 0.500)
Ni (0.127, 0.627, 0.500)
Ni (0.373, 0.127, 0.500)
Ni (0.627, 0.873, 0.500)
Ni (0.873, 0.373, 0.500)


[3]
Computed, not measured: TcOs after structural relaxation at the PBE level of DFT.

## Properties
The crystal system is orthorhombic. As for the space group: Pmm2. The calculation puts the formation energy at -0.08 eV/atom. The offset from the most stable computed form is 0.001 eV/f.u.

Lattice parameters (Å, degrees): 2.753 4.360 4.772 90.00 90.00 90.00
Positions (direct):
Tc (0.000, 0.000, 0.000)
Tc (0.000, 0.500, 0.333)
Os (0.500, 0.000, 0.500)
Os (0.500, 0.500, 0.837)


[4]
Computed, not measured: PuOsW after structural relaxation at the PBE level of DFT.

## Properties
The crystal system is cubic. As for the space group: F-43m. The calculation puts the formation energy at 1.04 eV/atom. The offset from the most stable computed form is 1.287 eV/f.u.

Lattice parameters (Å, degrees): 4.369 4.369 4.369 60.00 60.00 60.00
Positions (direct):
Pu (0.000, 0.000, 0.000)
Os (0.750, 0.750, 0.750)
W (0.250, 0.250, 0.250)


[5]
Computed, not measured: DyMgCuSe3 after structural relaxation at the PBE level of DFT.

## Properties
The crystal system is orthorhombic. As for the space group: Pnma. The offset from the most stable computed form is 0.234 eV/f.u.

Lattice parameters (Å, degrees): 11.294 3.948 11.547 90.00 90.00 90.00
Positions (direct):
Dy (0.027, 0.250, 0.190)
Dy (0.473, 0.750, 0.690)
Dy (0.527, 0.250, 0.310)
Dy (0.973, 0.750, 0.810)
Mg (0.183, 0.250, 0.494)
Mg (0.317, 0.750, 0.994)
Mg (0.683, 0.250, 0.006)
Mg (0.817, 0.750, 0.506)
Cu (0.246, 0.750, 0.286)
Cu (0.254, 0.250, 0.786)
Cu (0.746, 0.750, 0.214)
Cu (0.754, 0.250, 0.714)
Se (0.054, 0.750, 0.375)
Se (0.103, 0.250, 0.933)
Se (0.211, 0.750, 0.664)
Se (0.289, 0.250, 0.164)
Se (0.397, 0.750, 0.433)
Se (0.446, 0.250, 0.875)
Se (0.554, 0.750, 0.125)
Se (0.603, 0.250, 0.567)
Se (0.711, 0.750, 0.836)
Se (0.789, 0.250, 0.336)
Se (0.897, 0.750, 0.067)
Se (0.946, 0.250, 0.625)


[6]
Computed, not measured: LiHoP4O12 after structural relaxation at the PBE level of DFT.

## Properties
The crystal system is monoclinic. As for the space group: C2/c. The calculation puts the final energy at -263.5 eV per cell.

Lattice parameters (Å, degrees): 8.769 8.769 9.432 122.39 122.39 46.79
Positions (direct):
Li (0.206, 0.794, 0.750)
Li (0.794, 0.206, 0.250)
Ho (0.295, 0.705, 0.250)
Ho (0.705, 0.295, 0.750)
P (0.085, 0.189, 0.159)
P (0.189, 0.085, 0.659)
P (0.206, 0.501, 0.403)
P (0.499, 0.794, 0.097)
P (0.501, 0.206, 0.903)
P (0.794, 0.499, 0.597)
P (0.811, 0.915, 0.341)
P (0.915, 0.811, 0.841)
O (0.032, 0.282, 0.576)
O (0.062, 0.063, 0.700)
O (0.063, 0.062, 0.200)
O (0.107, 0.664, 0.955)
O (0.170, 0.319, 0.347)
O (0.255, 0.484, 0.264)
O (0.282, 0.032, 0.076)
O (0.319, 0.170, 0.847)
O (0.336, 0.893, 0.545)
O (0.351, 0.513, 0.586)
O (0.484, 0.255, 0.764)
O (0.487, 0.649, 0.914)
O (0.513, 0.351, 0.086)
O (0.516, 0.745, 0.236)
O (0.649, 0.487, 0.414)
O (0.664, 0.107, 0.455)
O (0.681, 0.830, 0.153)
O (0.718, 0.968, 0.924)
O (0.745, 0.516, 0.736)
O (0.830, 0.681, 0.653)
O (0.893, 0.336, 0.045)
O (0.937, 0.938, 0.800)
O (0.938, 0.937, 0.300)
O (0.968, 0.718, 0.424)


[7]
Computed, not measured: ZnAg2SnTe3S after structural relaxation at the PBE level of DFT.

## Properties
The crystal system is monoclinic. As for the space group: Cm. The calculation puts the final energy at -26.4 eV per cell.

Lattice parameters (Å, degrees): 6.156 6.156 7.711 112.74 112.74 91.35
Positions (direct):
Zn (0.000, 0.000, 0.000)
Ag (0.239, 0.688, 0.461)
Ag (0.688, 0.239, 0.461)
Sn (0.465, 0.465, 0.986)
Te (0.090, 0.614, 0.736)
Te (0.614, 0.090, 0.736)
Te (0.861, 0.861, 0.244)
S (0.334, 0.334, 0.210)


[8]
Computed, not measured: ErGaO3 after structural relaxation at the PBE level of DFT.

## Properties
The crystal system is orthorhombic. As for the space group: Pnma. The calculation puts the final energy at -144.4 eV per cell.

Lattice parameters (Å, degrees): 5.544 7.520 5.225 90.00 90.00 90.00
Positions (direct):
Er (0.071, 0.250, 0.020)
Er (0.429, 0.750, 0.520)
Er (0.571, 0.250, 0.480)
Er (0.929, 0.750, 0.980)
Ga (0.000, 0.000, 0.500)
Ga (0.000, 0.500, 0.500)
Ga (0.500, 0.000, 0.000)
Ga (0.500, 0.500, 0.000)
O (0.041, 0.750, 0.384)
O (0.195, 0.558, 0.808)
O (0.195, 0.942, 0.808)
O (0.305, 0.058, 0.308)
O (0.305, 0.442, 0.308)
O (0.459, 0.250, 0.884)
O (0.541, 0.750, 0.116)
O (0.695, 0.558, 0.692)
O (0.695, 0.942, 0.692)
O (0.805, 0.058, 0.192)
O (0.805, 0.442, 0.192)
O (0.959, 0.250, 0.616)